Entry 1:
DFT (GGA-PBE) results for a relaxed TiTl2GeS5 crystal. Values from VASP.

Geometry as Quantum ESPRESSO input:
```
&SYSTEM
  ibrav = 0, nat = 18, ntyp = 4
/
ATOMIC_SPECIES
Ti 47.87 Ti.upf
Tl 204.38 Tl.upf
Ge 72.64 Ge.upf
S 32.06 S.upf
ATOMIC_POSITIONS angstrom
Ti 1.8101 5.2570 7.0429
Ti 1.8101 -5.2570 0.0000
Tl 1.8101 6.6824 11.1456
Tl 1.8101 6.6025 2.0228
Tl 1.8101 -6.6025 9.0657
Tl 1.8101 -6.6824 4.1027
Ge 1.8101 1.1635 12.5480
Ge 1.8101 -1.1635 5.5051
S 1.8101 8.1700 6.9371
S 1.8101 3.5655 1.5576
S 1.8101 3.4039 12.2911
S 1.8101 3.0724 6.6973
S 1.8101 0.0567 10.7130
S 1.8101 -0.0567 3.6701
S 1.8101 -3.0724 13.7402
S 1.8101 -3.4039 5.2482
S 1.8101 -3.5655 8.6005
S 1.8101 -8.1700 13.9800
CELL_PARAMETERS angstrom
1.8101 -9.0804 0.0000
1.8101 9.0804 0.0000
0.0000 0.0000 14.0858
```

Calculated values
spin magnetization = 0.0 Bohr magnetons per cell
final energy = -43.95 eV per formula unit

Entry 2:
DFT (GGA-PBE) results for a relaxed Ba2TaRu crystal. Values from VASP.

Geometry as Quantum ESPRESSO input:
```
&SYSTEM
  ibrav = 0, nat = 4, ntyp = 3
/
ATOMIC_SPECIES
Ba 137.33 Ba.upf
Ta 180.95 Ta.upf
Ru 101.07 Ru.upf
ATOMIC_POSITIONS angstrom
Ba 0.0000 0.0000 0.0000
Ba 1.7768 1.7768 4.0401
Ta 1.7768 1.7768 7.3930
Ru 0.0000 0.0000 6.7123
CELL_PARAMETERS angstrom
3.5536 0.0000 0.0000
0.0000 3.5536 0.0000
0.0000 0.0000 10.1574
```

Calculated values
spin magnetization = 0.3 Bohr magnetons per cell
polymorph energy (0 for the lowest one) = 1.809 kcal/mol of atoms
final energy = -23.61 eV per formula unit

Entry 3:
DFT (GGA-PBE) results for a relaxed NbCu2Cl crystal. Values from VASP.

Geometry as Quantum ESPRESSO input:
```
&SYSTEM
  ibrav = 0, nat = 4, ntyp = 3
/
ATOMIC_SPECIES
Nb 92.91 Nb.upf
Cu 63.55 Cu.upf
Cl 35.45 Cl.upf
ATOMIC_POSITIONS angstrom
Nb 0.0000 0.0000 0.0000
Cu 1.5979 1.5979 1.5979
Cu 4.7936 4.7936 4.7936
Cl 3.1957 3.1957 3.1957
CELL_PARAMETERS angstrom
0.0000 3.1957 3.1957
3.1957 0.0000 3.1957
3.1957 3.1957 0.0000
```

Calculated values
spin magnetization = 0.8 Bohr magnetons per cell
polymorph energy (0 for the lowest one) = 9.338 kcal/mol of atoms
final energy = -16.81 eV per formula unit